LiY2ZrSe4, relaxed, DFT PBE-GGA; total magnetization = 0.00 μB per atom; N(E_F) = 0.507 states/eV/atom; V = 179 Å³/f.u.; uncorrected energy = -6.2242 eV/atom
1.0
6.755 0.000 0.000
0.000 3.984 0.000
-2.308 0.000 6.635
Li Y Zr Se
1 2 1 4
direct
0.000 0.000 0.000 Li
0.500 0.000 0.500 Y
0.500 0.500 0.000 Y
0.000 0.500 0.500 Zr
0.234 0.000 0.752 Se
0.234 0.500 0.243 Se
0.766 0.000 0.248 Se
0.766 0.500 0.757 Se

Li2YZr2Se6, relaxed, DFT PBE-GGA; total magnetization = 0.00 μB per atom; N(E_F) = 0.364 states/eV/atom; V = 257 Å³/f.u.; uncorrected energy = -5.8454 eV/atom
1.0
3.353 -5.850 0.000
3.353 5.850 0.000
-2.241 0.000 6.561
Li Y Zr Se
2 1 2 6
direct
0.164 0.836 0.000 Li
0.836 0.164 0.000 Li
0.000 0.000 0.500 Y
0.334 0.666 0.500 Zr
0.666 0.334 0.500 Zr
0.081 0.428 0.748 Se
0.263 0.263 0.250 Se
0.428 0.081 0.748 Se
0.572 0.919 0.252 Se
0.737 0.737 0.750 Se
0.919 0.572 0.252 Se